Entry 1:
Material: Pm4NdEr
Method: DFT, PBE-GGA
State: relaxed

Results
Calculated formation energy in eV per atom: 0.01
Energy above the most stable polymorph in this dataset in meV per atom: 0

Cell and atoms, written as CIF:
```
data_Pm4NdEr
_chemical_formula_sum 'Pm4 Nd1 Er1'
_cell_length_a 3.6400
_cell_length_b 5.1149
_cell_length_c 12.0650
_cell_angle_alpha 115.07
_cell_angle_beta 90.00
_cell_angle_gamma 90.00
_symmetry_space_group_name_H-M 'P 1'
_symmetry_Int_Tables_number 1
loop_
_symmetry_equiv_pos_as_xyz
'x,y,z'
loop_
_atom_site_label
_atom_site_type_symbol
_atom_site_fract_x
_atom_site_fract_y
_atom_site_fract_z
Pm1 Pm 0.0000 0.3365 0.3360
Nd1 Nd 0.0000 0.0000 0.0000
Pm2 Pm 0.0000 0.6635 0.6640
Pm3 Pm 0.5000 0.6706 0.1699
Er1 Er 0.5000 0.0000 0.5000
Pm4 Pm 0.5000 0.3294 0.8301
```

---

Entry 2:
Material: Rb2HgBr
Method: DFT, PBE-GGA
State: relaxed

Results
Energy above the most stable polymorph in this dataset in meV per atom: 56
Energy relative to the elements, uncorrected in eV per atom: -0.904

Cell and atoms, written as CIF:
```
data_Rb2HgBr
_chemical_formula_sum 'Rb2 Hg1 Br1'
_cell_length_a 4.2789
_cell_length_b 4.2789
_cell_length_c 8.8436
_cell_angle_alpha 90.00
_cell_angle_beta 90.00
_cell_angle_gamma 90.00
_symmetry_space_group_name_H-M 'P 1'
_symmetry_Int_Tables_number 1
loop_
_symmetry_equiv_pos_as_xyz
'x,y,z'
loop_
_atom_site_label
_atom_site_type_symbol
_atom_site_fract_x
_atom_site_fract_y
_atom_site_fract_z
Rb1 Rb 0.0000 0.0000 0.7710
Hg1 Hg 0.5000 0.5000 0.5000
Rb2 Rb 0.0000 0.0000 0.2290
Br1 Br 0.5000 0.5000 0.0000
```

---

Entry 3:
Material: K2Ac2PtO6
Method: DFT, PBE-GGA
State: relaxed

Results
Energy relative to the elements, uncorrected in eV per atom: -1.964

Cell and atoms, written as CIF:
```
data_K2Ac2PtO6
_chemical_formula_sum 'K2 Ac2 Pt1 O6'
_cell_length_a 6.2391
_cell_length_b 6.2391
_cell_length_c 6.6380
_cell_angle_alpha 96.31
_cell_angle_beta 96.31
_cell_angle_gamma 119.36
_symmetry_space_group_name_H-M 'P 1'
_symmetry_Int_Tables_number 1
loop_
_symmetry_equiv_pos_as_xyz
'x,y,z'
loop_
_atom_site_label
_atom_site_type_symbol
_atom_site_fract_x
_atom_site_fract_y
_atom_site_fract_z
K1 K 0.1436 0.8564 0.0000
O1 O 0.2329 0.2329 0.3139
O2 O 0.0336 0.3288 0.6690
O3 O 0.3288 0.0336 0.6690
Pt1 Pt 0.0000 0.0000 0.5000
O4 O 0.7671 0.7671 0.6861
O5 O 0.6712 0.9664 0.3310
K2 K 0.8564 0.1436 0.0000
Ac1 Ac 0.3380 0.6620 0.5000
Ac2 Ac 0.6620 0.3380 0.5000
O6 O 0.9664 0.6712 0.3310
```